# K2SbW, relaxed, DFT PBE
data_K2SbW
_symmetry_space_group_name_H-M 'C 1 2/m 1'
_symmetry_Int_Tables_number 12
_cell_length_a 5.775
_cell_length_b 11.811
_cell_length_c 3.068
_cell_angle_alpha 90.00
_cell_angle_beta 93.19
_cell_angle_gamma 90.00
loop_
_symmetry_equiv_pos_as_xyz
'x,y,z'
'-x,-y,-z'
'-x,y,-z'
'x,-y,z'
'x+1/2,y+1/2,z'
'-x+1/2,-y+1/2,-z'
'-x+1/2,y+1/2,-z'
'x+1/2,-y+1/2,z'
loop_
_atom_site_label
_atom_site_type_symbol
_atom_site_fract_x
_atom_site_fract_y
_atom_site_fract_z
K1 K 0.250 0.250 0.000
Sb1 Sb 0.000 0.000 0.500
W1 W 0.000 0.500 0.500
# - Electronic total energy: -3.81 eV/atom
# - Uncorrected formation energy: 1007 meV/atom